Version one
Entry from Alexandria via LeMat-Bulk: a geometry-optimized Th4Pb2C structure (GGA-PBE).

Crystal system ... monoclinic

a = 6.619 Å, b = 6.833 Å, c = 9.754 Å
α = 90.00°, β = 109.58°, γ = 90.00°
Space group P2_1/m (No. 11)
Asymmetric unit:
Th (0.206, 0.250, 0.040) (multiplicity 2)
Th (0.256, 0.515, 0.706) (multiplicity 4)
Th (0.260, 0.750, 0.344) (multiplicity 2)
Pb (0.246, 0.250, 0.397) (multiplicity 2)
Pb (0.324, 0.750, 0.030) (multiplicity 2)
C (0.106, 0.250, 0.786) (multiplicity 2)

---

Version two
Entry from Alexandria via LeMat-Bulk: a geometry-optimized Th4Pb2C structure (GGA-PBE).

Crystal system ... tetragonal

a = 5.003 Å, b = 5.003 Å, c = 16.762 Å
α = 90.00°, β = 90.00°, γ = 90.00°
Space group I4/mmm (No. 139)
Asymmetric unit:
Th (0.000, 0.000, 0.155) (multiplicity 4)
Th (0.000, 0.500, 0.000) (multiplicity 4)
Pb (0.000, 0.000, 0.355) (multiplicity 4)
C (0.000, 0.000, 0.000) (multiplicity 2)

---

Which of them is the most stable? Correct choice: version two.

---

Version one
Entry from Alexandria via LeMat-Bulk: a geometry-optimized Ti2PbC structure (GGA-PBE).

Crystal system ... cubic

a = 6.366 Å, b = 6.366 Å, c = 6.366 Å
α = 90.00°, β = 90.00°, γ = 90.00°
Space group Fm-3m (No. 225)
Asymmetric unit:
Ti (0.250, 0.250, 0.250) (multiplicity 8)
Pb (0.000, 0.000, 0.000) (multiplicity 4)
C (0.000, 0.000, 0.500) (multiplicity 4)

---

Version two
Entry from Alexandria via LeMat-Bulk: a geometry-optimized Ti2PbC structure (GGA-PBE).

Crystal system ... trigonal

a = 3.2374 Å, b = 3.2374 Å, c = 21.1740 Å
α = 90.00°, β = 90.00°, γ = 120.00°
Space group R-3m (No. 166, hexagonal axes)
Asymmetric unit:
Ti (0.0000, 0.0000, 0.2169) (multiplicity 6)
Pb (0.0000, 0.0000, 0.0000) (multiplicity 3)
C (0.0000, 0.0000, 0.5000) (multiplicity 3)

---

Version three
Entry from Alexandria via LeMat-Bulk: a geometry-optimized Ti2PbC structure (GGA-PBE).

Crystal system ... trigonal

a = 3.2154 Å, b = 3.2154 Å, c = 21.2329 Å
α = 90.00°, β = 90.00°, γ = 120.00°
Space group R3m (No. 160, hexagonal axes)
Asymmetric unit:
Ti (0.0000, 0.0000, 0.0000) (multiplicity 3)
Ti (0.0000, 0.0000, 0.2305) (multiplicity 3)
Pb (0.0000, 0.0000, 0.4478) (multiplicity 3)
C (0.0000, 0.0000, 0.6159) (multiplicity 3)

---

Version four
Entry from Alexandria via LeMat-Bulk: a geometry-optimized Ti2PbC structure (GGA-PBE).

Crystal system ... hexagonal

a = 3.2283 Å, b = 3.2283 Å, c = 14.0277 Å
α = 90.00°, β = 90.00°, γ = 120.00°
Space group P6_3/mmc (No. 194)
Asymmetric unit:
Ti (0.3333, 0.6667, 0.0771) (multiplicity 4)
Pb (0.3333, 0.6667, 0.7500) (multiplicity 2)
C (0.0000, 0.0000, 0.0000) (multiplicity 2)

---

Which of them is the most stable? Correct choice: version four.

---

Version one
Entry from Alexandria via LeMat-Bulk: a geometry-optimized Ti4Pb2C structure (GGA-PBE).

Crystal system ... orthorhombic

a = 7.453 Å, b = 10.590 Å, c = 3.254 Å
α = 90.00°, β = 90.00°, γ = 90.00°
Space group Pbam (No. 55)
Asymmetric unit:
Ti (0.125, 0.173, 0.000) (multiplicity 4)
Ti (0.163, 0.935, 0.500) (multiplicity 4)
Pb (0.056, 0.644, 0.500) (multiplicity 4)
C (0.000, 0.000, 0.000) (multiplicity 2)

---

Version two
Entry from Alexandria via LeMat-Bulk: a geometry-optimized Ti4Pb2C structure (GGA-PBE).

Crystal system ... tetragonal

a = 4.203 Å, b = 4.203 Å, c = 14.533 Å
α = 90.00°, β = 90.00°, γ = 90.00°
Space group I4/mmm (No. 139)
Asymmetric unit:
Ti (0.000, 0.000, 0.145) (multiplicity 4)
Ti (0.000, 0.500, 0.000) (multiplicity 4)
Pb (0.000, 0.000, 0.348) (multiplicity 4)
C (0.000, 0.000, 0.000) (multiplicity 2)

---

Which of them is the most stable? Correct choice: version two.

---

Version one
Entry from Alexandria via LeMat-Bulk: a geometry-optimized TlPbC2 structure (GGA-PBE).

Crystal system ... cubic

a = 6.515 Å, b = 6.515 Å, c = 6.515 Å
α = 90.00°, β = 90.00°, γ = 90.00°
Space group Fm-3m (No. 225)
Asymmetric unit:
Tl (0.000, 0.000, 0.000) (multiplicity 4)
Pb (0.000, 0.000, 0.500) (multiplicity 4)
C (0.250, 0.250, 0.250) (multiplicity 8)

---

Version two
Entry from Alexandria via LeMat-Bulk: a geometry-optimized TlPbC2 structure (GGA-PBE).

Crystal system ... tetragonal

a = 5.362 Å, b = 5.362 Å, c = 10.626 Å
α = 90.00°, β = 90.00°, γ = 90.00°
Space group I-42d (No. 122)
Asymmetric unit:
Tl (0.000, 0.000, 0.000) (multiplicity 4)
Pb (0.000, 0.000, 0.500) (multiplicity 4)
C (0.248, 0.250, 0.625) (multiplicity 8)

---

Which of them is the most stable? Correct choice: version two.

---

Version one
Entry from Alexandria via LeMat-Bulk: a geometry-optimized Tm7Pb3C2 structure (GGA-PBE).

Crystal system ... tetragonal

a = 4.803 Å, b = 4.803 Å, c = 25.385 Å
α = 90.00°, β = 90.00°, γ = 90.00°
Space group I4/mmm (No. 139)
Asymmetric unit:
Tm (0.000, 0.000, 0.000) (multiplicity 2)
Tm (0.000, 0.000, 0.192) (multiplicity 4)
Tm (0.000, 0.500, 0.095) (multiplicity 8)
Pb (0.000, 0.000, 0.317) (multiplicity 4)
Pb (0.000, 0.000, 0.500) (multiplicity 2)
C (0.000, 0.000, 0.096) (multiplicity 4)

---

Version two
Entry from Alexandria via LeMat-Bulk: a geometry-optimized Tm7Pb3C2 structure (GGA-PBE).

Crystal system ... orthorhombic

a = 4.854 Å, b = 24.664 Å, c = 4.757 Å
α = 90.00°, β = 90.00°, γ = 90.00°
Space group Cmmm (No. 65)
Asymmetric unit:
Tm (0.000, 0.000, 0.000) (multiplicity 2)
Tm (0.000, 0.097, 0.500) (multiplicity 4)
Tm (0.000, 0.197, 0.000) (multiplicity 4)
Tm (0.000, 0.401, 0.000) (multiplicity 4)
Pb (0.000, 0.310, 0.500) (multiplicity 4)
Pb (0.000, 0.500, 0.500) (multiplicity 2)
C (0.000, 0.099, 0.000) (multiplicity 4)

---

Which of them is the most stable? Correct choice: version one.

---

Version one
Entry from Alexandria via LeMat-Bulk: a geometry-optimized VPbC3 structure (GGA-PBE).

Crystal system ... cubic

a = 4.371 Å, b = 4.371 Å, c = 4.371 Å
α = 90.00°, β = 90.00°, γ = 90.00°
Space group Pm-3m (No. 221)
Asymmetric unit:
V (0.000, 0.000, 0.000) (multiplicity 1)
Pb (0.500, 0.500, 0.500) (multiplicity 1)
C (0.000, 0.500, 0.500) (multiplicity 3)

---

Version two
Entry from Alexandria via LeMat-Bulk: a geometry-optimized VPbC3 structure (GGA-PBE).

Crystal system ... cubic

a = 4.051 Å, b = 4.051 Å, c = 4.051 Å
α = 90.00°, β = 90.00°, γ = 90.00°
Space group Pm-3m (No. 221)
Asymmetric unit:
V (0.000, 0.000, 0.000) (multiplicity 1)
Pb (0.500, 0.500, 0.500) (multiplicity 1)
C (0.000, 0.000, 0.500) (multiplicity 3)

---

Which of them is the most stable? Correct choice: version two.

---

Version one
Entry from Alexandria via LeMat-Bulk: a geometry-optimized PbWC3 structure (GGA-PBE).

Crystal system ... cubic

a = 4.190 Å, b = 4.190 Å, c = 4.190 Å
α = 90.00°, β = 90.00°, γ = 90.00°
Space group Pm-3m (No. 221)
Asymmetric unit:
Pb (0.000, 0.000, 0.000) (multiplicity 1)
W (0.500, 0.500, 0.500) (multiplicity 1)
C (0.000, 0.500, 0.500) (multiplicity 3)

---

Version two
Entry from Alexandria via LeMat-Bulk: a geometry-optimized PbWC3 structure (GGA-PBE).

Crystal system ... cubic

a = 4.277 Å, b = 4.277 Å, c = 4.277 Å
α = 90.00°, β = 90.00°, γ = 90.00°
Space group Pm-3m (No. 221)
Asymmetric unit:
Pb (0.000, 0.000, 0.000) (multiplicity 1)
W (0.500, 0.500, 0.500) (multiplicity 1)
C (0.000, 0.000, 0.500) (multiplicity 3)

---

Which of them is the most stable? Correct choice: version one.

---

Version one
Entry from Alexandria via LeMat-Bulk: a geometry-optimized Y4Pb2C structure (GGA-PBE).

Crystal system ... monoclinic

a = 6.556 Å, b = 6.836 Å, c = 9.299 Å
α = 90.00°, β = 109.79°, γ = 90.00°
Space group P2_1/m (No. 11)
Asymmetric unit:
Y (0.176, 0.250, 0.057) (multiplicity 2)
Y (0.243, 0.002, 0.729) (multiplicity 4)
Y (0.274, 0.750, 0.346) (multiplicity 2)
Pb (0.230, 0.250, 0.419) (multiplicity 2)
Pb (0.345, 0.750, 0.032) (multiplicity 2)
C (0.078, 0.250, 0.800) (multiplicity 2)

---

Version two
Entry from Alexandria via LeMat-Bulk: a geometry-optimized Y4Pb2C structure (GGA-PBE).

Crystal system ... tetragonal

a = 4.834 Å, b = 4.834 Å, c = 16.130 Å
α = 90.00°, β = 90.00°, γ = 90.00°
Space group I4/mmm (No. 139)
Asymmetric unit:
Y (0.000, 0.000, 0.158) (multiplicity 4)
Y (0.000, 0.500, 0.000) (multiplicity 4)
Pb (0.000, 0.000, 0.358) (multiplicity 4)
C (0.000, 0.000, 0.000) (multiplicity 2)

---

Which of them is the most stable? Correct choice: version two.